The following is a PBE-GGA calculation of crystalline Ca2H5Rh at its relaxed geometry, from the Alexandria database.

Cell: 4.085 5.572 9.873 Å, 90.00 90.00 111.50°
Fractional positions:
Ca  0.854  0.709  0.417
Ca  0.854  0.709  0.083
Ca  0.146  0.291  0.583
Ca  0.146  0.291  0.917
H  0.936  0.873  0.872
H  0.936  0.873  0.628
H  0.287  0.574  0.387
H  0.287  0.574  0.113
H  0.683  0.366  0.250
H  0.317  0.634  0.750
H  0.713  0.426  0.613
H  0.713  0.426  0.887
H  0.064  0.127  0.128
H  0.064  0.127  0.372
Rh  0.820  0.639  0.750
Rh  0.180  0.361  0.250

## Properties
Magnetization = 0.0 μB/f.u.
Space group = Cmcm
E_tot = -61.2 eV/cell